First-principles (PBE-GGA) data for NaAcIn after structural relaxation, as listed in Alexandria.

The space group is P-6m2 (No. 187) and the conventional cell measures 5.5545, 5.5545 and 3.6890 Å, with angles of 90.00, 90.00 and 120.00 degrees. The asymmetric unit holds Na at (0.0000, 0.0000, 0.0000), Ac at (0.3333, 0.6667, 0.5000) and In at (0.6667, 0.3333, 0.0000).

Its formation energy is -0.16 eV/atom. For the offset from the most stable computed form, the calculation gives 0 meV/atom.

First-principles (PBE-GGA) data for NaAc2In6 after structural relaxation, as listed in Alexandria.

The space group is P6/mmm (No. 191) and the conventional cell measures 8.9290, 8.9290 and 3.9151 Å, with angles of 90.00, 90.00 and 120.00 degrees. The asymmetric unit holds Na at (0.0000, 0.0000, 0.0000), Ac at (0.3333, 0.6667, 0.0000) and In at (0.0000, 0.3296, 0.5000).

Its formation energy is -0.31 eV/atom.

First-principles (PBE-GGA) data for NaAcIn2 after structural relaxation, as listed in Alexandria.

The space group is P4/mmm (No. 123) and the conventional cell measures 3.930, 3.930 and 7.859 Å, with angles of 90.00, 90.00 and 90.00 degrees. The asymmetric unit holds Na at (0.000, 0.000, 0.000), Ac at (0.000, 0.000, 0.500) and In at (0.500, 0.500, 0.214).

Its formation energy is -0.25 eV/atom.

First-principles (PBE-GGA) data for NaAcIn after structural relaxation, as listed in Alexandria.

The space group is C2/m (No. 12) and the conventional cell measures 9.955, 7.303 and 5.984 Å, with angles of 90.00, 116.06 and 90.00 degrees. The asymmetric unit holds Na at (0.123, 0.000, 0.247), Ac at (0.197, 0.500, 0.141) and In at (0.000, 0.298, 0.500).

Its formation energy is -0.09 eV/atom. For the offset from the most stable computed form, the calculation gives 75 meV/atom.

First-principles (PBE-GGA) data for NaAcIn2 after structural relaxation, as listed in Alexandria.

The space group is R-3m (No. 166, hexagonal axes) and the conventional cell measures 3.6570, 3.6570 and 33.5096 Å, with angles of 90.00, 90.00 and 120.00 degrees. The asymmetric unit holds Na at (0.0000, 0.0000, 0.0000), Ac at (0.0000, 0.0000, 0.5000) and In at (0.0000, 0.0000, 0.2539).

Its formation energy is -0.06 eV/atom.

First-principles (PBE-GGA) data for NaAcIn after structural relaxation, as listed in Alexandria.

The space group is I4mm (No. 107) and the conventional cell measures 4.076, 4.076 and 12.237 Å, with angles of 90.00, 90.00 and 90.00 degrees. The asymmetric unit holds Na at (0.000, 0.000, 0.000), Ac at (0.000, 0.000, 0.295) and In at (0.000, 0.000, 0.629).

Its formation energy is -0.09 eV/atom. For the offset from the most stable computed form, the calculation gives 77 meV/atom.

First-principles (PBE-GGA) data for Na4AcIn after structural relaxation, as listed in Alexandria.

The space group is F-43m (No. 216) and the conventional cell measures 9.177, 9.177 and 9.177 Å, with angles of 90.00, 90.00 and 90.00 degrees. The asymmetric unit holds Na at (0.124, 0.124, 0.376), Ac at (0.000, 0.000, 0.000) and In at (0.250, 0.250, 0.750).

Its formation energy is 0.08 eV/atom.

First-principles (PBE-GGA) data for NaAc12In6 after structural relaxation, as listed in Alexandria.

The space group is R-3 (No. 148, hexagonal axes) and the conventional cell measures 15.9801, 15.9801 and 10.6602 Å, with angles of 90.00, 90.00 and 120.00 degrees. The asymmetric unit holds Na at (0.0000, 0.0000, 0.0000), Ac at (0.0509, 0.1992, 0.2985), Ac at (0.0537, 0.2495, 0.9238) and In at (0.0590, 0.2500, 0.6025).

Its formation energy is -0.05 eV/atom.

First-principles (PBE-GGA) data for NaAc4In3 after structural relaxation, as listed in Alexandria.

The space group is I4/mmm (No. 139) and the conventional cell measures 5.784, 5.784 and 16.897 Å, with angles of 90.00, 90.00 and 90.00 degrees. The asymmetric unit holds Na at (0.000, 0.000, 0.000), Ac at (0.000, 0.500, 0.130), In at (0.000, 0.000, 0.247) and In at (0.000, 0.000, 0.500).

Its formation energy is -0.29 eV/atom.

First-principles (PBE-GGA) data for NaAcIn2 after structural relaxation, as listed in Alexandria.

The space group is Pnma (No. 62) and the conventional cell measures 7.745, 5.103 and 13.178 Å, with angles of 90.00, 90.00 and 90.00 degrees. The asymmetric unit holds Na at (0.118, 0.250, 0.049), Ac at (0.135, 0.250, 0.346), In at (0.043, 0.250, 0.815) and In at (0.174, 0.250, 0.612).

Its formation energy is -0.22 eV/atom.

First-principles (PBE-GGA) data for NaAc2In after structural relaxation, as listed in Alexandria.

The space group is R-3m (No. 166, hexagonal axes) and the conventional cell measures 3.9247, 3.9247 and 38.3791 Å, with angles of 90.00, 90.00 and 120.00 degrees. The asymmetric unit holds Na at (0.0000, 0.0000, 0.0000), Ac at (0.0000, 0.0000, 0.0997) and In at (0.0000, 0.0000, 0.5000).

Its formation energy is 0.03 eV/atom.

First-principles (PBE-GGA) data for Na2AcIn after structural relaxation, as listed in Alexandria.

The space group is R-3m (No. 166, hexagonal axes) and the conventional cell measures 3.6470, 3.6470 and 37.9800 Å, with angles of 90.00, 90.00 and 120.00 degrees. The asymmetric unit holds Na at (0.0000, 0.0000, 0.0952), Ac at (0.0000, 0.0000, 0.0000) and In at (0.0000, 0.0000, 0.5000).

Its formation energy is 0.17 eV/atom.

First-principles (PBE-GGA) data for NaAc4In4 after structural relaxation, as listed in Alexandria.

The space group is P4_2/n (No. 86, origin choice 2) and the conventional cell measures 10.888, 10.888 and 6.855 Å, with angles of 90.00, 90.00 and 90.00 degrees. The asymmetric unit holds Na at (0.250, 0.250, 0.250), Ac at (0.115, 0.865, 0.629) and In at (0.056, 0.920, 0.138).

Its formation energy is -0.03 eV/atom.

First-principles (PBE-GGA) data for NaAcIn6 after structural relaxation, as listed in Alexandria.

The space group is Pmm2 (No. 25) and the conventional cell measures 5.063, 7.283 and 6.144 Å, with angles of 90.00, 90.00 and 90.00 degrees. The asymmetric unit holds Na at (0.000, 0.000, 0.000), Ac at (0.500, 0.500, 0.700), In at (0.000, 0.216, 0.512), In at (0.000, 0.500, 0.113), In at (0.500, 0.000, 0.681) and In at (0.500, 0.228, 0.188).

Its formation energy is -0.20 eV/atom.

First-principles (PBE-GGA) data for NaAcNdIn after structural relaxation, as listed in Alexandria.

The space group is F-43m (No. 216) and the conventional cell measures 8.083, 8.083 and 8.083 Å, with angles of 90.00, 90.00 and 90.00 degrees. The asymmetric unit holds Na at (0.000, 0.000, 0.000), Ac at (0.250, 0.250, 0.750), Nd at (0.250, 0.250, 0.250) and In at (0.000, 0.000, 0.500).

Its formation energy is -0.14 eV/atom.

First-principles (PBE-GGA) data for Na2Ac2InO6 after structural relaxation, as listed in Alexandria.

The space group is R-3m (No. 166, hexagonal axes) and the conventional cell measures 6.4049, 6.4049 and 16.2800 Å, with angles of 90.00, 90.00 and 120.00 degrees. The asymmetric unit holds Na at (0.0000, 0.0000, 0.0826), Ac at (0.0000, 0.0000, 0.2985), In at (0.0000, 0.0000, 0.5000) and O at (0.0477, 0.5239, 0.2602).

The calculation puts the formation energy without anion corrections at -20.623 eV per formula unit.

First-principles (PBE-GGA) data for Na2AcInO4 after structural relaxation, as listed in Alexandria.

The space group is Imma (No. 74) and the conventional cell measures 6.810, 7.428 and 9.780 Å, with angles of 90.00, 90.00 and 90.00 degrees. The asymmetric unit holds Na at (0.000, 0.000, 0.000), Na at (0.250, 0.250, 0.250), Ac at (0.000, 0.000, 0.500), In at (0.250, 0.250, 0.750), O at (0.000, 0.043, 0.754) and O at (0.241, 0.250, 0.513).

The calculation puts the formation energy without anion corrections at -16.007 eV per formula unit.

First-principles (PBE-GGA) data for NaAc2InO5 after structural relaxation, as listed in Alexandria.

The space group is I4/mcm (No. 140) and the conventional cell measures 7.225, 7.225 and 12.249 Å, with angles of 90.00, 90.00 and 90.00 degrees. The asymmetric unit holds Na at (0.000, 0.000, 0.250), Ac at (0.181, 0.319, 0.000), In at (0.000, 0.500, 0.250), O at (0.000, 0.000, 0.000) and O at (0.141, 0.359, 0.370).

The calculation puts the formation energy without anion corrections at -21.558 eV per formula unit.

First-principles (PBE-GGA) data for Na2AcInPb2 after structural relaxation, as listed in Alexandria.

The space group is Pmc2_1 (No. 26) and the conventional cell measures 4.875, 9.655 and 8.306 Å, with angles of 90.00, 90.00 and 90.00 degrees. The asymmetric unit holds Na at (0.000, 0.075, 0.000), Na at (0.500, 0.166, 0.322), Ac at (0.500, 0.441, 0.946), In at (0.000, 0.320, 0.614), Pb at (0.000, 0.368, 0.233) and Pb at (0.500, 0.150, 0.709).

Its formation energy is -0.31 eV/atom.

First-principles (PBE-GGA) data for NaAcInPb after structural relaxation, as listed in Alexandria.

The space group is F-43m (No. 216) and the conventional cell measures 8.009, 8.009 and 8.009 Å, with angles of 90.00, 90.00 and 90.00 degrees. The asymmetric unit holds Na at (0.000, 0.000, 0.000), Ac at (0.000, 0.000, 0.500), In at (0.250, 0.250, 0.250) and Pb at (0.250, 0.250, 0.750).

Its formation energy is -0.30 eV/atom. For the offset from the most stable computed form, the calculation gives 13 meV/atom.

First-principles (PBE-GGA) data for NaAcInPb after structural relaxation, as listed in Alexandria.

The space group is Pmmm (No. 47) and the conventional cell measures 4.662, 5.156 and 5.343 Å, with angles of 90.00, 90.00 and 90.00 degrees. The asymmetric unit holds Na at (0.000, 0.000, 0.000), Ac at (0.000, 0.500, 0.500), In at (0.500, 0.500, 0.000) and Pb at (0.500, 0.000, 0.500).

Its formation energy is -0.31 eV/atom. For the offset from the most stable computed form, the calculation gives 0 meV/atom.

First-principles (PBE-GGA) data for NaAcInPd after structural relaxation, as listed in Alexandria.

The space group is F-43m (No. 216) and the conventional cell measures 7.385, 7.385 and 7.385 Å, with angles of 90.00, 90.00 and 90.00 degrees. The asymmetric unit holds Na at (0.000, 0.000, 0.000), Ac at (0.250, 0.250, 0.250), In at (0.250, 0.250, 0.750) and Pd at (0.000, 0.000, 0.500).

Its formation energy is -0.34 eV/atom.

First-principles (PBE-GGA) data for NaAcPmIn after structural relaxation, as listed in Alexandria.

The space group is F-43m (No. 216) and the conventional cell measures 8.062, 8.062 and 8.062 Å, with angles of 90.00, 90.00 and 90.00 degrees. The asymmetric unit holds Na at (0.000, 0.000, 0.000), Ac at (0.250, 0.250, 0.750), Pm at (0.250, 0.250, 0.250) and In at (0.000, 0.000, 0.500).

Its formation energy is -0.14 eV/atom.

First-principles (PBE-GGA) data for NaAcInPt after structural relaxation, as listed in Alexandria.

The space group is F-43m (No. 216) and the conventional cell measures 7.336, 7.336 and 7.336 Å, with angles of 90.00, 90.00 and 90.00 degrees. The asymmetric unit holds Na at (0.000, 0.000, 0.000), Ac at (0.250, 0.250, 0.250), In at (0.250, 0.250, 0.750) and Pt at (0.000, 0.000, 0.500).

Its formation energy is -0.44 eV/atom.